The following is a PBE+U calculation of crystalline Ba2Tl2MoO6 at its relaxed geometry, from Alexandria.

Lattice parameters (Å, degrees): 6.448 6.448 6.456 97.28 97.28 118.39
Positions (direct):
Ba1 0.164 0.836 0.000
Ba2 0.836 0.164 0.000
Tl1 0.347 0.653 0.500
Tl2 0.653 0.347 0.500
Mo1 0.500 0.500 0.000
O1 0.198 0.452 0.838
O2 0.316 0.316 0.209
O3 0.452 0.198 0.838
O4 0.548 0.802 0.162
O5 0.684 0.684 0.791
O6 0.802 0.548 0.162

Output
Space-group type: No. 12
Total DFT energy (no corrections) (eV/atom): -5.8935